VASP calculation (PBE-GGA) on crystalline Ac2SmAs3Rh4 at its relaxed geometry.

ΔE_f: -89.3 kJ/mol of atoms

Unit cell a=4.272 b=4.272 c=11.549 alpha=90.00 beta=90.00 gamma=90.00
Fractional coordinates of all 10 atoms:
1 Ac 0.000 0.500 0.229
2 Ac 0.500 0.000 0.771
3 Sm 0.000 0.000 0.500
4 As 0.000 0.500 0.878
5 As 0.500 0.000 0.122
6 As 0.500 0.500 0.500
7 Rh 0.000 0.000 0.000
8 Rh 0.000 0.500 0.661
9 Rh 0.500 0.000 0.339
10 Rh 0.500 0.500 0.000

VASP calculation (PBE-GGA) on crystalline AcSmAs2Rh5 at its relaxed geometry.

ΔE_f: -56.6 kJ/mol of atoms

Unit cell a=4.147 b=4.147 c=11.319 alpha=90.00 beta=90.00 gamma=90.00
Fractional coordinates of all 9 atoms:
1 Ac 0.000 0.000 0.000
2 Sm 0.000 0.000 0.500
3 As 0.500 0.500 0.212
4 As 0.500 0.500 0.788
5 Rh 0.000 0.500 0.315
6 Rh 0.000 0.500 0.685
7 Rh 0.500 0.000 0.315
8 Rh 0.500 0.000 0.685
9 Rh 0.500 0.500 0.000

VASP calculation (PBE-GGA) on crystalline AcSmAs2Rh2 at its relaxed geometry.

ΔE_f: -104.0 kJ/mol of atoms

Unit cell a=4.288 b=4.288 c=8.392 alpha=90.00 beta=90.00 gamma=120.00
Fractional coordinates of all 6 atoms:
1 Ac 0.000 0.000 0.000
2 Sm 0.000 0.000 0.500
3 As 0.333 0.667 0.273
4 As 0.667 0.333 0.727
5 Rh 0.333 0.667 0.743
6 Rh 0.667 0.333 0.257

VASP calculation (PBE-GGA) on crystalline AcSnAsRh3 at its relaxed geometry.

ΔE_f: -62.0 kJ/mol of atoms

Unit cell a=8.384 b=8.384 c=5.917 alpha=90.00 beta=90.00 gamma=138.86
Fractional coordinates of all 12 atoms:
1 Ac 0.236 0.764 0.750
2 Ac 0.764 0.236 0.250
3 Sn 0.099 0.901 0.250
4 Sn 0.901 0.099 0.750
5 As 0.418 0.582 0.250
6 As 0.582 0.418 0.750
7 Rh 0.257 0.257 0.000
8 Rh 0.257 0.257 0.500
9 Rh 0.265 0.735 0.250
10 Rh 0.735 0.265 0.750
11 Rh 0.743 0.743 0.000
12 Rh 0.743 0.743 0.500

VASP calculation (PBE-GGA) on crystalline Ac2SnAs3Rh4 at its relaxed geometry.

ΔE_f: -82.6 kJ/mol of atoms

Unit cell a=4.407 b=4.407 c=10.541 alpha=90.00 beta=90.00 gamma=90.00
Fractional coordinates of all 10 atoms:
1 Ac 0.000 0.500 0.244
2 Ac 0.500 0.000 0.756
3 Sn 0.000 0.000 0.500
4 As 0.000 0.500 0.874
5 As 0.500 0.000 0.126
6 As 0.500 0.500 0.500
7 Rh 0.000 0.000 0.000
8 Rh 0.000 0.500 0.638
9 Rh 0.500 0.000 0.362
10 Rh 0.500 0.500 0.000

VASP calculation (PBE-GGA) on crystalline SrAcAsRh at its relaxed geometry.

ΔE_f: -60.3 kJ/mol of atoms

Unit cell a=5.321 b=5.321 c=5.321 alpha=60.00 beta=60.00 gamma=60.00
Fractional coordinates of all 4 atoms:
1 Sr 0.000 0.000 0.000
2 Ac 0.500 0.500 0.500
3 As 0.750 0.750 0.750
4 Rh 0.250 0.250 0.250

VASP calculation (PBE-GGA) on crystalline SrAcAs2Rh5 at its relaxed geometry.

ΔE_f: -62.6 kJ/mol of atoms

Unit cell a=4.311 b=4.311 c=9.369 alpha=90.00 beta=90.00 gamma=90.00
Fractional coordinates of all 9 atoms:
1 Sr 0.000 0.000 0.000
2 Ac 0.000 0.000 0.500
3 As 0.500 0.500 0.155
4 As 0.500 0.500 0.845
5 Rh 0.000 0.500 0.266
6 Rh 0.000 0.500 0.734
7 Rh 0.500 0.000 0.266
8 Rh 0.500 0.000 0.734
9 Rh 0.500 0.500 0.500

VASP calculation (PBE-GGA) on crystalline Ac2TaAs4Rh3 at its relaxed geometry.

ΔE_f: -80.4 kJ/mol of atoms

Unit cell a=4.396 b=4.396 c=10.506 alpha=90.00 beta=90.00 gamma=90.00
Fractional coordinates of all 10 atoms:
1 Ac 0.000 0.500 0.234
2 Ac 0.500 0.000 0.766
3 Ta 0.000 0.000 0.500
4 As 0.000 0.000 0.000
5 As 0.000 0.500 0.637
6 As 0.500 0.000 0.363
7 As 0.500 0.500 0.000
8 Rh 0.000 0.500 0.883
9 Rh 0.500 0.000 0.117
10 Rh 0.500 0.500 0.500

VASP calculation (PBE-GGA) on crystalline AcTbAs2Rh5 at its relaxed geometry.

ΔE_f: -57.9 kJ/mol of atoms

Unit cell a=4.145 b=4.145 c=11.206 alpha=90.00 beta=90.00 gamma=90.00
Fractional coordinates of all 9 atoms:
1 Ac 0.000 0.000 0.000
2 Tb 0.000 0.000 0.500
3 As 0.500 0.500 0.214
4 As 0.500 0.500 0.786
5 Rh 0.000 0.500 0.318
6 Rh 0.000 0.500 0.682
7 Rh 0.500 0.000 0.318
8 Rh 0.500 0.000 0.682
9 Rh 0.500 0.500 0.000

VASP calculation (PBE-GGA) on crystalline Ac2TbAs4Rh3 at its relaxed geometry.

ΔE_f: -96.3 kJ/mol of atoms

Unit cell a=4.435 b=4.435 c=11.031 alpha=90.00 beta=90.00 gamma=90.00
Fractional coordinates of all 10 atoms:
1 Ac 0.000 0.500 0.224
2 Ac 0.500 0.000 0.776
3 Tb 0.000 0.000 0.500
4 As 0.000 0.000 0.000
5 As 0.000 0.500 0.660
6 As 0.500 0.000 0.340
7 As 0.500 0.500 0.000
8 Rh 0.000 0.500 0.893
9 Rh 0.500 0.000 0.107
10 Rh 0.500 0.500 0.500

VASP calculation (PBE-GGA) on crystalline Ac8Te3AsRh3 at its relaxed geometry.

formation energy from raw total energies: -1.031 eV per atom

Unit cell a=8.970 b=8.970 c=9.343 alpha=118.64 beta=118.64 gamma=60.02
Fractional coordinates of all 15 atoms:
1 Ac 0.225 0.744 0.713
2 Ac 0.238 0.238 0.713
3 Ac 0.256 0.256 0.287
4 Ac 0.256 0.775 0.287
5 Ac 0.744 0.225 0.713
6 Ac 0.744 0.744 0.713
7 Ac 0.762 0.762 0.287
8 Ac 0.775 0.256 0.287
9 Te 0.000 0.500 0.000
10 Te 0.500 0.000 0.000
11 Te 0.500 0.500 0.000
12 As 0.500 0.500 0.500
13 Rh 0.000 0.000 0.500
14 Rh 0.000 0.500 0.500
15 Rh 0.500 0.000 0.500

VASP calculation (PBE-GGA) on crystalline Ac8Te4AsRh3 at its relaxed geometry.

formation energy from raw total energies: -1.188 eV per atom

Unit cell a=9.458 b=9.458 c=9.458 alpha=56.67 beta=56.67 gamma=56.67
Fractional coordinates of all 16 atoms:
1 Ac 0.227 0.742 0.742
2 Ac 0.238 0.238 0.238
3 Ac 0.258 0.258 0.773
4 Ac 0.258 0.773 0.258
5 Ac 0.742 0.227 0.742
6 Ac 0.742 0.742 0.227
7 Ac 0.762 0.762 0.762
8 Ac 0.773 0.258 0.258
9 Te 0.000 0.000 0.000
10 Te 0.000 0.500 0.500
11 Te 0.500 0.000 0.500
12 Te 0.500 0.500 0.000
13 As 0.500 0.500 0.500
14 Rh 0.000 0.000 0.500
15 Rh 0.000 0.500 0.000
16 Rh 0.500 0.000 0.000

VASP calculation (PBE-GGA) on crystalline Ac3TeAs2Rh9 at its relaxed geometry.

formation energy from raw total energies: -0.494 eV per atom

Unit cell a=6.338 b=6.338 c=9.395 alpha=90.00 beta=90.00 gamma=120.00
Fractional coordinates of all 15 atoms:
1 Ac 0.000 0.000 0.000
2 Ac 0.333 0.667 0.695
3 Ac 0.667 0.333 0.305
4 Te 0.000 0.000 0.500
5 As 0.333 0.667 0.166
6 As 0.667 0.333 0.834
7 Rh 0.000 0.500 0.000
8 Rh 0.147 0.295 0.284
9 Rh 0.147 0.853 0.284
10 Rh 0.295 0.147 0.716
11 Rh 0.500 0.000 0.000
12 Rh 0.500 0.500 0.000
13 Rh 0.705 0.853 0.284
14 Rh 0.853 0.147 0.716
15 Rh 0.853 0.705 0.716

VASP calculation (PBE-GGA) on crystalline Ac2TeAs3Rh4 at its relaxed geometry.

formation energy from raw total energies: -0.862 eV per atom

Unit cell a=4.503 b=4.503 c=10.185 alpha=90.00 beta=90.00 gamma=90.00
Fractional coordinates of all 10 atoms:
1 Ac 0.000 0.500 0.242
2 Ac 0.500 0.000 0.758
3 Te 0.000 0.000 0.500
4 As 0.000 0.500 0.871
5 As 0.500 0.000 0.129
6 As 0.500 0.500 0.500
7 Rh 0.000 0.000 0.000
8 Rh 0.000 0.500 0.626
9 Rh 0.500 0.000 0.374
10 Rh 0.500 0.500 0.000

VASP calculation (PBE-GGA) on crystalline Ac2ThAs3Rh12 at its relaxed geometry.

ΔE_f: -17.1 kJ/mol of atoms

Unit cell a=7.578 b=7.578 c=7.578 alpha=68.10 beta=68.10 gamma=68.10
Fractional coordinates of all 18 atoms:
1 Ac 0.104 0.104 0.104
2 Ac 0.896 0.896 0.896
3 Th 0.500 0.500 0.500
4 As 0.000 0.500 0.500
5 As 0.500 0.000 0.500
6 As 0.500 0.500 0.000
7 Rh 0.116 0.646 0.646
8 Rh 0.151 0.151 0.596
9 Rh 0.151 0.596 0.151
10 Rh 0.354 0.354 0.884
11 Rh 0.354 0.884 0.354
12 Rh 0.404 0.849 0.849
13 Rh 0.596 0.151 0.151
14 Rh 0.646 0.116 0.646
15 Rh 0.646 0.646 0.116
16 Rh 0.849 0.404 0.849
17 Rh 0.849 0.849 0.404
18 Rh 0.884 0.354 0.354

VASP calculation (PBE-GGA) on crystalline Ac2ThAs3Rh4 at its relaxed geometry.

ΔE_f: -89.9 kJ/mol of atoms

Unit cell a=4.353 b=4.353 c=11.357 alpha=90.00 beta=90.00 gamma=90.00
Fractional coordinates of all 10 atoms:
1 Ac 0.000 0.500 0.221
2 Ac 0.500 0.000 0.779
3 Th 0.000 0.000 0.500
4 As 0.000 0.500 0.876
5 As 0.500 0.000 0.124
6 As 0.500 0.500 0.500
7 Rh 0.000 0.000 0.000
8 Rh 0.000 0.500 0.653
9 Rh 0.500 0.000 0.347
10 Rh 0.500 0.500 0.000

VASP calculation (PBE-GGA) on crystalline AcTh2As2Rh7 at its relaxed geometry.

ΔE_f: -69.3 kJ/mol of atoms

Unit cell a=4.149 b=4.149 c=13.705 alpha=96.52 beta=96.52 gamma=89.04
Fractional coordinates of all 12 atoms:
1 Ac 0.000 0.000 0.000
2 Th 0.117 0.117 0.354
3 Th 0.883 0.883 0.646
4 As 0.406 0.406 0.741
5 As 0.594 0.594 0.259
6 Rh 0.061 0.561 0.169
7 Rh 0.348 0.348 0.563
8 Rh 0.439 0.939 0.831
9 Rh 0.500 0.500 0.000
10 Rh 0.561 0.061 0.169
11 Rh 0.652 0.652 0.437
12 Rh 0.939 0.439 0.831

VASP calculation (PBE-GGA) on crystalline Ac2TiAs3Rh4 at its relaxed geometry.

ΔE_f: -87.9 kJ/mol of atoms

Unit cell a=4.266 b=4.266 c=10.783 alpha=90.00 beta=90.00 gamma=90.00
Fractional coordinates of all 10 atoms:
1 Ac 0.000 0.500 0.246
2 Ac 0.500 0.000 0.754
3 Ti 0.000 0.000 0.500
4 As 0.000 0.500 0.868
5 As 0.500 0.000 0.132
6 As 0.500 0.500 0.500
7 Rh 0.000 0.000 0.000
8 Rh 0.000 0.500 0.631
9 Rh 0.500 0.000 0.369
10 Rh 0.500 0.500 0.000

VASP calculation (PBE-GGA) on crystalline AcTmAs2Rh2 at its relaxed geometry.

ΔE_f: -102.2 kJ/mol of atoms

Unit cell a=4.293 b=4.293 c=8.062 alpha=90.00 beta=90.00 gamma=120.00
Fractional coordinates of all 6 atoms:
1 Ac 0.000 0.000 0.000
2 Tm 0.000 0.000 0.500
3 As 0.333 0.667 0.275
4 As 0.667 0.333 0.725
5 Rh 0.333 0.667 0.723
6 Rh 0.667 0.333 0.277

VASP calculation (PBE-GGA) on crystalline AcTmAs2Rh5 at its relaxed geometry.

ΔE_f: -59.2 kJ/mol of atoms

Unit cell a=4.161 b=4.161 c=10.990 alpha=90.00 beta=90.00 gamma=90.00
Fractional coordinates of all 9 atoms:
1 Ac 0.000 0.000 0.000
2 Tm 0.000 0.000 0.500
3 As 0.500 0.500 0.218
4 As 0.500 0.500 0.782
5 Rh 0.000 0.500 0.323
6 Rh 0.000 0.500 0.677
7 Rh 0.500 0.000 0.323
8 Rh 0.500 0.000 0.677
9 Rh 0.500 0.500 0.000

VASP calculation (PBE-GGA) on crystalline Ac2TmAs3Rh12 at its relaxed geometry.

ΔE_f: -23.8 kJ/mol of atoms

Unit cell a=6.900 b=6.900 c=6.900 alpha=84.23 beta=84.23 gamma=84.23
Fractional coordinates of all 18 atoms:
1 Ac 0.144 0.144 0.144
2 Ac 0.856 0.856 0.856
3 Tm 0.500 0.500 0.500
4 As 0.000 0.500 0.500
5 As 0.500 0.000 0.500
6 As 0.500 0.500 0.000
7 Rh 0.124 0.124 0.601
8 Rh 0.124 0.601 0.124
9 Rh 0.183 0.683 0.683
10 Rh 0.317 0.317 0.817
11 Rh 0.317 0.817 0.317
12 Rh 0.399 0.876 0.876
13 Rh 0.601 0.124 0.124
14 Rh 0.683 0.183 0.683
15 Rh 0.683 0.683 0.183
16 Rh 0.817 0.317 0.317
17 Rh 0.876 0.399 0.876
18 Rh 0.876 0.876 0.399

V readings, ordered: 21.1 21.6 22.3 22.8 20.5 26.6 19.3 20.3 21.4 21.7 36.2 34.5 21.8 20.6 20.0 21.5 19.4 19.6 21.4 21.1 18.0 Å³ per atom
M_tot readings, ordered: 0.00 0.00 0.00 0.00 0.06 0.07 0.00 0.04 0.00 0.00 0.00 0.00 0.00 0.06 0.00 0.05 0.00 0.00 0.00 0.00 0.00 μB/atom
DOS(E_F) readings, ordered: 6.8 4.3 5.6 4.8 7.8 4.1 4.5 6.9 4.1 4.5 12.7 10.2 7.6 9.1 11.8 7.8 6.8 7.8 5.6 3.7 19.4 states/eV/cell